No. 1
VASP calculation (PBE-GGA) on crystalline TbDy2Y2Sc2 at its relaxed geometry.

Results
Its density of states at the Fermi level is 12.57 states/eV/cell. The energy of formation comes out at 0.109 eV per atom. The magnetic moment is 0.000 μB/atom.

The structure in extended XYZ format:
```
7
Lattice="3.427 0.000 0.000 -1.713 5.431 1.489 0.000 0.796 11.546" Properties=species:S:1:pos:R:3 pbc="T T T"
Y 0.000 3.662 1.992
Y 1.713 2.565 11.044
Sc 1.713 3.260 5.044
Sc 0.000 2.967 7.991
Dy 1.713 0.711 2.835
Dy 0.000 5.516 10.201
Tb 0.000 0.398 5.773
```


No. 2
VASP calculation (PBE-GGA) on crystalline TbDyY3Sc at its relaxed geometry.

Results
Its density of states at the Fermi level is 17.93 states/eV/cell. The energy of formation comes out at 0.041 eV per atom. The magnetic moment is 0.000 μB/atom.

The structure in extended XYZ format:
```
12
Lattice="4.963 0.000 0.000 -2.481 7.472 0.000 0.000 0.000 9.931" Properties=species:S:1:pos:R:3 pbc="T T T"
Y 0.000 4.982 4.978
Y 0.000 4.982 9.918
Y 2.481 2.490 0.013
Y 0.000 2.520 7.448
Y 2.481 2.490 4.953
Y 2.481 4.952 2.483
Dy 0.000 7.438 7.448
Dy 2.481 0.034 2.483
Sc 0.000 2.483 2.483
Sc 2.481 4.989 7.448
Tb 0.000 0.000 4.965
Tb 0.000 0.000 0.000
```


No. 3
VASP calculation (PBE-GGA) on crystalline Tb6Dy3Y2Sc at its relaxed geometry.

Results
Its density of states at the Fermi level is 16.46 states/eV/cell. The energy of formation comes out at 0.026 eV per atom. The magnetic moment is 0.000 μB/atom.

The structure in extended XYZ format:
```
12
Lattice="6.121 0.001 0.004 -3.058 5.302 0.004 -1.025 -1.774 11.514" Properties=species:S:1:pos:R:3 pbc="T T T"
Tb 2.049 3.548 2.867
Tb -1.012 1.747 2.858
Tb 2.019 -0.003 2.858
Tb 0.019 3.533 8.664
Tb 3.050 1.782 8.664
Tb -0.011 -0.019 8.656
Y 0.003 3.535 0.004
Y 3.060 1.769 0.004
Dy -2.041 3.532 5.761
Dy 4.080 -0.003 5.761
Dy 1.019 1.765 5.761
Sc 0.000 0.000 0.000
```


No. 4
VASP calculation (PBE-GGA) on crystalline TbDy2Y6Sc3 at its relaxed geometry.

Results
Its density of states at the Fermi level is 19.21 states/eV/cell. The energy of formation comes out at 0.052 eV per atom. The magnetic moment is 0.000 μB/atom.

The structure in extended XYZ format:
```
12
Lattice="6.065 0.001 0.013 -3.031 5.254 0.013 -1.034 -1.790 11.326" Properties=species:S:1:pos:R:3 pbc="T T T"
Y -0.017 -0.029 8.398
Y 3.017 1.723 8.410
Y -0.016 3.474 8.410
Y 2.017 -0.009 2.942
Y 2.018 3.494 2.953
Y -1.016 1.742 2.942
Sc 1.001 1.732 5.676
Sc 4.033 -0.019 5.676
Sc -2.032 3.484 5.676
Tb 0.000 0.000 0.000
Dy 0.001 3.503 0.013
Dy 3.034 1.752 0.013
```


No. 5
VASP calculation (PBE-GGA) on crystalline Tb2DyY5Sc at its relaxed geometry.

Results
Its density of states at the Fermi level is 31.39 states/eV/cell. The energy of formation comes out at 0.160 eV per atom. The magnetic moment is 0.000 μB/atom.

The structure in extended XYZ format:
```
18
Lattice="-2.220 -1.724 4.766 4.266 -8.512 -4.305 8.875 1.992 4.855" Properties=species:S:1:pos:R:3 pbc="T T T"
Tb 8.564 -6.547 4.832
Tb 7.256 -0.706 3.125
Tb 3.403 -7.598 2.048
Tb 3.475 -1.447 1.095
Sc 5.436 -5.625 3.708
Sc 1.363 -3.545 -0.648
Y 2.524 -6.885 -1.316
Y 7.721 -3.512 5.537
Y 8.118 -4.233 2.250
Y 6.511 -8.905 3.022
Y 4.343 -2.270 4.413
Y 9.598 -7.566 1.733
Y 0.234 -0.277 0.009
Y 4.649 -4.407 0.571
Y 1.122 -0.724 3.472
Y 1.936 -4.206 2.592
Dy 6.565 -6.733 0.621
Dy 7.911 -0.714 6.638
```


No. 6
VASP calculation (PBE-GGA) on crystalline TbDy6Y3Sc2 at its relaxed geometry.

Results
Its density of states at the Fermi level is 17.74 states/eV/cell. The energy of formation comes out at 0.039 eV per atom. The magnetic moment is 0.000 μB/atom.

The structure in extended XYZ format:
```
12
Lattice="6.075 0.002 0.004 -3.034 5.263 0.004 -1.018 -1.762 11.416" Properties=species:S:1:pos:R:3 pbc="T T T"
Tb 0.000 0.000 0.000
Dy 2.040 0.003 2.785
Dy -1.017 1.769 2.785
Dy 3.040 1.734 8.639
Dy 0.003 0.004 8.636
Dy -0.018 3.500 8.639
Dy 2.020 3.498 2.789
Sc 3.038 1.756 0.004
Sc 0.002 3.509 0.004
Y 1.011 1.751 5.712
Y -2.022 3.503 5.712
Y 4.045 -0.001 5.712
```


No. 7
VASP calculation (PBE-GGA) on crystalline Tb5DyY2Sc at its relaxed geometry.

Results
Its density of states at the Fermi level is 30.25 states/eV/cell. The energy of formation comes out at 0.163 eV per atom. The magnetic moment is 0.000 μB/atom.

The structure in extended XYZ format:
```
18
Lattice="5.558 0.000 0.000 -2.779 9.935 0.000 0.000 0.000 10.389" Properties=species:S:1:pos:R:3 pbc="T T T"
Y 2.779 7.673 2.454
Y 0.000 2.215 3.245
Y 2.779 7.720 8.439
Y 0.000 2.262 7.649
Sc 0.000 3.892 0.153
Sc 2.779 6.044 5.347
Tb 2.779 3.983 2.127
Tb 0.000 5.497 3.320
Tb 2.779 9.569 5.371
Tb 0.000 0.366 0.177
Tb 0.000 5.953 7.322
Tb 0.000 7.509 0.210
Tb 2.779 4.439 8.515
Tb 2.779 2.426 5.405
Tb 0.000 9.594 7.694
Tb 2.779 0.342 2.500
Dy 0.000 8.134 4.762
Dy 2.779 1.802 9.956
```


No. 8
VASP calculation (PBE-GGA) on crystalline TbDy2YSc at its relaxed geometry.

Results
Its density of states at the Fermi level is 13.43 states/eV/cell. The energy of formation comes out at 0.347 eV per atom. The magnetic moment is 0.000 μB/atom.

The structure in extended XYZ format:
```
10
Lattice="7.067 0.000 0.000 0.000 8.141 0.000 0.000 -4.070 5.617" Properties=species:S:1:pos:R:3 pbc="T T T"
Dy 3.534 2.460 0.000
Dy 0.000 5.681 0.000
Dy 0.000 2.460 0.000
Dy 3.534 5.681 0.000
Sc 5.300 0.000 0.123
Sc 1.767 4.070 5.493
Tb 5.300 0.000 3.095
Tb 1.767 4.070 2.521
Y 1.767 0.000 2.938
Y 5.300 4.070 2.679
```